(1)
DFT (PBE-GGA) results for an optimized crystal structure of LiEr2Zr3N6.

- raw total energy (eV per atom) = -8.822
- space group = C2/m (12)
- spin magnetization (μB per atom) = 0.00

Geometry as POSCAR:
```
LiEr2Zr3N6
1.0
-1.0732 -3.0093 0.8229
6.0637 -1.5340 2.2979
-2.8583 4.2719 5.2812
N Zr Er Li
6 3 2 1
Cartesian
4.4006 -1.0959 1.7314
-1.2440 -0.6746 2.5246
3.3763 0.4031 5.8774
-2.2684 0.8244 6.6705
1.9313 -1.5039 3.6328
0.2010 1.2324 4.7692
3.9824 -0.3948 3.7498
2.4953 -2.2717 1.5604
-1.8501 0.1233 4.6522
0.8587 0.4025 2.5919
1.2736 -0.6740 5.8100
-0.5366 -1.5047 0.4114
```

***

(2)
DFT (PBE-GGA) results for an optimized crystal structure of MnCdPb2Cl.

- raw total energy (eV per atom) = -3.257
- space group = P4/mmm (123)
- spin magnetization (μB per atom) = 0.78

Geometry as POSCAR:
```
MnCdPb2Cl
1.0
5.7138 0.0000 0.0000
0.0000 5.1676 0.0000
0.0000 0.0000 5.7138
Cd Pb Cl Mn
1 2 1 1
Cartesian
0.0000 0.0000 0.0000
0.0000 0.0000 2.8569
2.8569 0.0000 0.0000
0.0000 2.5838 0.0000
2.8569 2.5838 2.8569
```

***

| no. | raw formation energy (eV per atom) | calculated volume (A^3/atom) |
| --- | --- | --- |
| 1 | -1.602 | 12.76 |
| 2 | 0.613 | 33.74 |